DFT (PBE+U) results for HgMo2O after structural relaxation.

Results
E, eV per atom: -3.3841
ΔE to the lowest computed polymorph, meV per atom: 1125
Total moment, μB/atom: 0.00

a = 6.2704 Å, b = 6.2704 Å, c = 6.2704 Å
α = 90.00°, β = 90.00°, γ = 90.00°
Space group Fm-3m (No. 225)
Symmetry-distinct sites (fractional):
Hg: 0.0000 0.0000 0.0000 x4
Mo: 0.2500 0.2500 0.2500 x8
O: 0.0000 0.0000 0.5000 x4